No. 1
{
  "formula": "UAl2Au9",
  "functional": "PBE",
  "state": "relaxed",
  "lattice_angstrom": [[-2.390, 1.140, 6.424], [4.532, -4.338, 6.214], [3.835, 6.898, 3.960]],
  "species": ["U", "U", "Al", "Al", "Al", "Al", "Au", "Au", "Au", "Au", "Au", "Au", "Au", "Au", "Au", "Au", "Au", "Au", "Au", "Au", "Au", "Au", "Au", "Au"],
  "frac_coords": [[0.500, 0.000, 0.000], [0.250, 0.500, 0.500], [0.875, 0.250, 0.750], [0.875, 0.750, 0.250], [0.875, 0.250, 0.250], [0.375, 0.750, 0.750], [0.750, 0.500, 0.500], [0.000, 0.000, 0.000], [0.971, 0.941, 0.696], [0.607, 0.059, 0.304], [0.661, 0.196, 0.559], [0.416, 0.804, 0.441], [0.779, 0.804, 0.559], [0.143, 0.196, 0.441], [0.089, 0.941, 0.304], [0.334, 0.059, 0.696], [0.779, 0.559, 0.804], [0.143, 0.441, 0.196], [0.089, 0.304, 0.941], [0.334, 0.696, 0.059], [0.971, 0.696, 0.941], [0.607, 0.304, 0.059], [0.661, 0.559, 0.196], [0.416, 0.441, 0.804]],
  "delta_e_f_ev_per_atom": -0.174
}

No. 2
{
  "formula": "UAl4Au2",
  "functional": "PBE",
  "state": "relaxed",
  "lattice_angstrom": [[4.374, 0.000, 0.000], [0.000, 6.837, 0.000], [0.000, 0.000, 17.360]],
  "species": ["Au", "Au", "Au", "Au", "Au", "Au", "Au", "Au", "U", "U", "U", "U", "Al", "Al", "Al", "Al", "Al", "Al", "Al", "Al", "Al", "Al", "Al", "Al", "Al", "Al", "Al", "Al"],
  "frac_coords": [[0.250, 0.752, 0.537], [0.750, 0.248, 0.463], [0.750, 0.252, 0.963], [0.250, 0.748, 0.037], [0.250, 0.970, 0.783], [0.750, 0.030, 0.217], [0.750, 0.470, 0.717], [0.250, 0.530, 0.283], [0.750, 0.991, 0.636], [0.250, 0.009, 0.364], [0.250, 0.491, 0.864], [0.750, 0.509, 0.136], [0.250, 0.270, 0.690], [0.750, 0.730, 0.310], [0.750, 0.770, 0.810], [0.250, 0.230, 0.190], [0.250, 0.677, 0.686], [0.750, 0.323, 0.314], [0.750, 0.177, 0.814], [0.250, 0.823, 0.186], [0.250, 0.162, 0.536], [0.750, 0.838, 0.464], [0.750, 0.662, 0.964], [0.250, 0.338, 0.036], [0.250, 0.483, 0.431], [0.750, 0.517, 0.569], [0.750, 0.983, 0.069], [0.250, 0.017, 0.931]],
  "delta_e_f_ev_per_atom": -0.329
}

No. 3
{
  "formula": "UAl3Au3",
  "functional": "PBE",
  "state": "relaxed",
  "lattice_angstrom": [[6.919, 0.000, 0.000], [0.000, 6.919, 0.000], [0.000, 0.000, 6.919]],
  "species": ["Au", "Au", "Au", "Au", "Au", "Au", "U", "U", "Al", "Al", "Al", "Al", "Al", "Al"],
  "frac_coords": [[0.250, 0.000, 0.500], [0.000, 0.500, 0.250], [0.500, 0.750, 0.000], [0.750, 0.000, 0.500], [0.000, 0.500, 0.750], [0.500, 0.250, 0.000], [0.500, 0.500, 0.500], [0.000, 0.000, 0.000], [0.000, 0.250, 0.500], [0.000, 0.750, 0.500], [0.500, 0.000, 0.750], [0.750, 0.500, 0.000], [0.500, 0.000, 0.250], [0.250, 0.500, 0.000]],
  "delta_e_f_ev_per_atom": 0.086
}

No. 4
{
  "formula": "UAl4Au12",
  "functional": "PBE",
  "state": "relaxed",
  "lattice_angstrom": [[7.718, 0.000, 0.000], [-2.573, 7.276, 0.000], [-2.573, -3.638, 6.301]],
  "species": ["U", "Al", "Al", "Al", "Al", "Au", "Au", "Au", "Au", "Au", "Au", "Au", "Au", "Au", "Au", "Au", "Au"],
  "frac_coords": [[0.000, 0.000, 0.000], [0.000, 0.500, 0.000], [0.500, 0.000, 0.000], [0.500, 0.500, 0.500], [0.000, 0.000, 0.500], [0.844, 0.341, 0.185], [0.341, 0.497, 0.156], [0.815, 0.156, 0.659], [0.341, 0.185, 0.844], [0.185, 0.844, 0.341], [0.659, 0.503, 0.844], [0.497, 0.156, 0.341], [0.503, 0.844, 0.659], [0.659, 0.815, 0.156], [0.844, 0.659, 0.503], [0.156, 0.341, 0.497], [0.156, 0.659, 0.815]],
  "delta_e_f_ev_per_atom": -0.080
}

No. 5
{
  "formula": "UAl2Au2",
  "functional": "PBE",
  "state": "relaxed",
  "lattice_angstrom": [[-1.562, -2.065, 1.179], [0.111, -4.069, -6.983], [6.755, -3.788, 2.314]],
  "species": ["U", "U", "Al", "Al", "Al", "Al", "Au", "Au", "Au", "Au"],
  "frac_coords": [[0.000, 0.000, 0.000], [0.000, 0.500, 0.500], [0.000, 0.368, 0.868], [0.000, 0.868, 0.632], [0.000, 0.632, 0.132], [0.000, 0.132, 0.368], [0.500, 0.160, 0.660], [0.500, 0.660, 0.840], [0.500, 0.840, 0.340], [0.500, 0.340, 0.160]],
  "delta_e_f_ev_per_atom": -0.192,
  "polymorph_energy_mev_per_atom": 130.6
}

No. 6
{
  "formula": "UAl3ZnAu",
  "functional": "PBE",
  "state": "relaxed",
  "lattice_angstrom": [[5.874, 0.000, 0.000], [0.000, 6.119, 0.000], [0.000, -3.060, 6.513]],
  "species": ["U", "U", "Al", "Al", "Al", "Al", "Al", "Al", "Zn", "Zn", "Au", "Au"],
  "frac_coords": [[0.750, 0.305, 0.611], [0.250, 0.695, 0.389], [0.250, 0.130, 0.261], [0.000, 0.291, 0.000], [0.500, 0.709, 0.000], [0.500, 0.291, 0.000], [0.000, 0.709, 0.000], [0.750, 0.870, 0.739], [0.250, 0.909, 0.819], [0.750, 0.091, 0.181], [0.250, 0.335, 0.669], [0.750, 0.665, 0.331]],
  "delta_e_f_ev_per_atom": 0.113
}

Please write out number 2 again, unchanged.
{
  "formula": "UAl4Au2",
  "functional": "PBE",
  "state": "relaxed",
  "lattice_angstrom": [[4.374, 0.000, 0.000], [0.000, 6.837, 0.000], [0.000, 0.000, 17.360]],
  "species": ["Au", "Au", "Au", "Au", "Au", "Au", "Au", "Au", "U", "U", "U", "U", "Al", "Al", "Al", "Al", "Al", "Al", "Al", "Al", "Al", "Al", "Al", "Al", "Al", "Al", "Al", "Al"],
  "frac_coords": [[0.250, 0.752, 0.537], [0.750, 0.248, 0.463], [0.750, 0.252, 0.963], [0.250, 0.748, 0.037], [0.250, 0.970, 0.783], [0.750, 0.030, 0.217], [0.750, 0.470, 0.717], [0.250, 0.530, 0.283], [0.750, 0.991, 0.636], [0.250, 0.009, 0.364], [0.250, 0.491, 0.864], [0.750, 0.509, 0.136], [0.250, 0.270, 0.690], [0.750, 0.730, 0.310], [0.750, 0.770, 0.810], [0.250, 0.230, 0.190], [0.250, 0.677, 0.686], [0.750, 0.323, 0.314], [0.750, 0.177, 0.814], [0.250, 0.823, 0.186], [0.250, 0.162, 0.536], [0.750, 0.838, 0.464], [0.750, 0.662, 0.964], [0.250, 0.338, 0.036], [0.250, 0.483, 0.431], [0.750, 0.517, 0.569], [0.750, 0.983, 0.069], [0.250, 0.017, 0.931]],
  "delta_e_f_ev_per_atom": -0.329
}

What did the sixth record say?
{
  "formula": "UAl3ZnAu",
  "functional": "PBE",
  "state": "relaxed",
  "lattice_angstrom": [[5.874, 0.000, 0.000], [0.000, 6.119, 0.000], [0.000, -3.060, 6.513]],
  "species": ["U", "U", "Al", "Al", "Al", "Al", "Al", "Al", "Zn", "Zn", "Au", "Au"],
  "frac_coords": [[0.750, 0.305, 0.611], [0.250, 0.695, 0.389], [0.250, 0.130, 0.261], [0.000, 0.291, 0.000], [0.500, 0.709, 0.000], [0.500, 0.291, 0.000], [0.000, 0.709, 0.000], [0.750, 0.870, 0.739], [0.250, 0.909, 0.819], [0.750, 0.091, 0.181], [0.250, 0.335, 0.669], [0.750, 0.665, 0.331]],
  "delta_e_f_ev_per_atom": 0.113
}

Q: Number 4 is which compound?
A: UAl4Au12